## Tb3HoRu2 (PBE)

Data for a geometry-optimized Tb3HoRu2 structure.

## Properties
- space-group type = Ibam, No. 72
- Fermi-level density of states (states/eV/cell) = 4.7
- E_form (eV/atom) = -0.23
- calculated volume (Å³ per cell) = 320

Unit cell a=6.721 b=7.050 c=8.327 alpha=115.04 beta=113.80 gamma=90.00
Sites, in units of the cell vectors:
Tb 0.500 0.250 0.000
Tb 0.500 0.750 0.000
Tb 0.765 0.015 0.531
Tb 0.235 0.485 0.469
Tb 0.235 0.985 0.469
Tb 0.765 0.515 0.531
Ho 0.000 0.500 0.000
Ho 0.000 0.000 0.000
Ru 0.588 0.366 0.731
Ru 0.857 0.134 0.269
Ru 0.143 0.866 0.731
Ru 0.412 0.634 0.269

## Zr6Sc2Pa (PBE)

Data for a geometry-optimized Zr6Sc2Pa structure.

## Properties
- space-group type = C2/c, No. 15
- Fermi-level density of states (states/eV/cell) = 23.3
- E_form (eV/atom) = 0.12
- calculated volume (Å³ per cell) = 427

Unit cell a=5.827 b=8.796 c=8.796 alpha=73.88 beta=82.16 gamma=82.16
Sites, in units of the cell vectors:
Zr 0.491 0.664 0.383
Zr 0.009 0.617 0.336
Zr 0.509 0.336 0.617
Zr 0.991 0.383 0.664
Zr 0.737 0.938 0.432
Zr 0.763 0.568 0.062
Zr 0.263 0.062 0.568
Zr 0.237 0.432 0.938
Zr 0.276 0.763 0.998
Zr 0.224 0.002 0.237
Zr 0.724 0.237 0.002
Zr 0.776 0.998 0.763
Sc 0.113 0.728 0.662
Sc 0.387 0.338 0.272
Sc 0.887 0.272 0.338
Sc 0.613 0.662 0.728
Pa 0.250 0.103 0.897
Pa 0.750 0.897 0.103

## Tb2Pm4In (PBE)

Data for a geometry-optimized Tb2Pm4In structure.

## Properties
- space-group type = P1, No. 1
- Fermi-level density of states (states/eV/cell) = 16.4
- E_form (eV/atom) = 0.02
- calculated volume (Å³ per cell) = 462

Unit cell a=8.909 b=8.838 c=8.838 alpha=133.89 beta=99.42 gamma=98.13
Sites, in units of the cell vectors:
Tb 0.661 0.265 0.600
Tb 0.589 0.691 0.105
Tb 0.625 0.399 0.274
Tb 0.125 0.399 0.774
Pm 0.884 0.142 0.258
Pm 0.356 0.670 0.314
Pm 0.891 0.708 0.817
Pm 0.777 0.039 0.755
Pm 0.281 0.038 0.257
Pm 0.369 0.125 0.755
Pm 0.473 0.731 0.764
Pm 0.969 0.731 0.262
In 0.103 0.636 0.540
In 0.147 0.177 0.023

## NaZnHgF2 (PBE)

Data for a geometry-optimized NaZnHgF2 structure.

## Properties
- space-group type = P4/mmm, No. 123
- Fermi-level density of states (states/eV/cell) = 2.1
- formation energy without anion corrections (eV/f.u.) = -6.3
- calculated volume (Å³ per cell) = 97

Unit cell a=4.208 b=4.208 c=5.488 alpha=90.00 beta=90.00 gamma=90.00
Sites, in units of the cell vectors:
Na 0.500 0.500 0.500
Zn 0.000 0.000 0.000
Hg 0.000 0.000 0.500
F 0.000 0.500 0.000
F 0.500 0.000 0.000

## CsHfInSe2 (PBE)

Data for a geometry-optimized CsHfInSe2 structure.

## Properties
- space-group type = P4/mmm, No. 123
- Fermi-level density of states (states/eV/cell) = 2.2
- formation energy without anion corrections (eV/f.u.) = 4.1
- calculated volume (Å³ per cell) = 185

Unit cell a=5.498 b=6.120 c=5.498 alpha=90.00 beta=90.00 gamma=90.00
Last column: magnetic moment on the atom in μB.
Sites, in units of the cell vectors:
Cs 0.000 0.500 0.000  0.03
Hf 0.500 0.500 0.500  0.88
Se 0.000 0.000 0.500  -0.03
Se 0.500 0.000 0.000  -0.04
In 0.000 0.000 0.000  0.00

## HoPaZnRe (PBE)

Data for a geometry-optimized HoPaZnRe structure.

## Properties
- space-group type = F-43m, No. 216
- Fermi-level density of states (states/eV/cell) = 2.4
- E_form (eV/atom) = -0.02
- calculated volume (Å³ per cell) = 84

Unit cell a=4.925 b=4.925 c=4.925 alpha=60.00 beta=60.00 gamma=60.00
Sites, in units of the cell vectors:
Re 0.500 0.500 0.500
Zn 0.000 0.000 0.000
Pa 0.750 0.750 0.750
Ho 0.250 0.250 0.250

## Ag2IrAu (PBE)

Data for a geometry-optimized Ag2IrAu structure.

## Properties
- space-group type = Fm-3m, No. 225
- Fermi-level density of states (states/eV/cell) = 2.4
- E_form (eV/atom) = 0.48
- calculated volume (Å³ per cell) = 68

Unit cell a=4.584 b=4.584 c=4.584 alpha=60.00 beta=60.00 gamma=60.00
Sites, in units of the cell vectors:
Ir 0.000 0.000 0.000
Au 0.500 0.500 0.500
Ag 0.250 0.250 0.250
Ag 0.750 0.750 0.750

## CaLaIn (PBE)

Data for a geometry-optimized CaLaIn structure.

## Properties
- space-group type = Amm2, No. 38
- Fermi-level density of states (states/eV/cell) = 5.2
- E_form (eV/atom) = -0.31
- calculated volume (Å³ per cell) = 196

Unit cell a=4.128 b=6.958 c=8.939 alpha=75.41 beta=89.99 gamma=53.60
Sites, in units of the cell vectors:
Ca 0.978 0.109 0.055
Ca 0.657 0.930 0.413
La 0.979 0.608 0.057
La 0.298 0.289 0.695
In 0.633 0.455 0.364
In 0.323 0.764 0.745

## TaCdAu4 (PBE)

Data for a geometry-optimized TaCdAu4 structure.

## Properties
- space-group type = F-43m, No. 216
- Fermi-level density of states (states/eV/cell) = 5.8
- E_form (eV/atom) = 0.34
- calculated volume (Å³ per cell) = 116

Unit cell a=5.468 b=5.468 c=5.468 alpha=60.00 beta=60.00 gamma=60.00
Last column: magnetic moment on the atom in μB.
Sites, in units of the cell vectors:
Ta 0.000 0.000 0.000  0.55
Cd 0.750 0.750 0.750  -0.01
Au 0.876 0.375 0.375  0.01
Au 0.375 0.375 0.876  0.01
Au 0.375 0.876 0.375  0.01
Au 0.375 0.375 0.375  0.01

## NaTiPdS3 (PBE)

Data for a geometry-optimized NaTiPdS3 structure.

## Properties
- space-group type = P2_1/m, No. 11
- Fermi-level density of states (states/eV/cell) = 5.0
- formation energy without anion corrections (eV/f.u.) = -6.0
- calculated volume (Å³ per cell) = 229

Unit cell a=3.543 b=7.567 c=8.890 alpha=106.12 beta=90.00 gamma=90.00
Sites, in units of the cell vectors:
Na 0.250 0.211 0.249
Na 0.750 0.789 0.751
Ti 0.250 0.674 0.170
Ti 0.750 0.326 0.830
Pd 0.250 0.130 0.586
Pd 0.750 0.870 0.414
S 0.750 0.888 0.145
S 0.250 0.112 0.855
S 0.250 0.687 0.448
S 0.750 0.313 0.552
S 0.750 0.432 0.127
S 0.250 0.568 0.873

## MoAsIrAu2 (PBE)

Data for a geometry-optimized MoAsIrAu2 structure.

## Properties
- space-group type = P4/mmm, No. 123
- Fermi-level density of states (states/eV/cell) = 6.3
- E_form (eV/atom) = 1.60
- calculated volume (Å³ per cell) = 117

Unit cell a=5.016 b=4.662 c=5.016 alpha=90.00 beta=90.00 gamma=90.00
Last column: magnetic moment on the atom in μB.
Sites, in units of the cell vectors:
Mo 0.000 0.000 0.000  0.23
Ir 0.500 0.500 0.500  1.43
Au 0.000 0.000 0.500  0.07
Au 0.500 0.000 0.000  0.05
As 0.000 0.500 0.000  0.02

## Pm3Sn4Pd4 (PBE)

Data for a geometry-optimized Pm3Sn4Pd4 structure.

## Properties
- space-group type = Immm, No. 71
- Fermi-level density of states (states/eV/cell) = 6.9
- E_form (eV/atom) = -0.74
- calculated volume (Å³ per cell) = 260

Unit cell a=4.503 b=4.060 c=14.562 alpha=98.01 beta=98.89 gamma=90.00
Sites, in units of the cell vectors:
Pm 0.355 0.855 0.710
Pm 0.645 0.145 0.290
Pm 0.000 0.000 0.000
Sn 0.254 0.254 0.508
Sn 0.095 0.595 0.191
Sn 0.905 0.405 0.809
Sn 0.746 0.746 0.492
Pd 0.812 0.312 0.624
Pd 0.453 0.453 0.906
Pd 0.547 0.547 0.094
Pd 0.188 0.688 0.376